# GGA-PBE HoCuSn, optimized geometry
# **Mass density**: 8.910 g/cm3
# **Calculated volume**: 64.7 Å³/f.u.
# **VASP energy**: -27.91 eV per cell
data_HoCuSn
_chemical_formula_sum 'Ho2 Cu2 Sn2'
_cell_length_a 4.5009
_cell_length_b 4.5009
_cell_length_c 7.3762
_cell_angle_alpha 90.00
_cell_angle_beta 90.00
_cell_angle_gamma 120.00
_symmetry_space_group_name_H-M 'P 63/m m c'
_symmetry_Int_Tables_number 194
_symmetry_space_group_name_Hall '-P 6c 2c'
loop_
_atom_site_label
_atom_site_type_symbol
_atom_site_fract_x
_atom_site_fract_y
_atom_site_fract_z
Ho1 Ho 0.0000 0.0000 0.0000
Cu1 Cu 0.3333 0.6667 0.2500
Sn1 Sn 0.3333 0.6667 0.7500